[1]
Compound: Hf2CdRu
Source: Alexandria via LeMat-Bulk
Functional: GGA-PBE
Structure: relaxed

Properties
spin magnetization = 0.0 μB per formula unit
volume = 77 Å³/cell
ΔE_f = -0.351 eV/atom
symmetry = No. 123

Lattice parameters (Å, degrees): 3.222 3.222 7.430 90.00 90.00 90.00
Element x y z (fractional)
Hf 0.000 0.000 0.781
Hf 0.000 0.000 0.219
Ru 0.500 0.500 0.000
Cd 0.500 0.500 0.500

[2]
Compound: Hf2CdRu
Source: Alexandria via LeMat-Bulk
Functional: GGA-PBE
Structure: relaxed

Properties
spin magnetization = 0.0 μB per formula unit
volume = 167 Å³/cell
ΔE_f = 0.132 eV/atom
symmetry = No. 122

Lattice parameters (Å, degrees): 7.625 7.625 6.109 51.39 51.39 90.00
Element x y z (fractional)
Ru 0.250 0.750 0.500
Ru 0.500 0.500 0.000
Hf 0.875 0.828 0.750
Hf 0.172 0.625 0.250
Hf 0.375 0.422 0.750
Hf 0.578 0.125 0.250
Cd 0.000 0.000 0.000
Cd 0.750 0.250 0.500

[3]
Compound: HfCd2Ru
Source: Alexandria via LeMat-Bulk
Functional: GGA-PBE
Structure: relaxed

Properties
spin magnetization = 0.0 μB per formula unit
volume = 74 Å³/cell
polymorph energy (0 for the lowest one) = 0.00 eV per formula unit
ΔE_f = 0.200 eV/atom
symmetry = No. 225

Lattice parameters (Å, degrees): 4.715 4.715 4.715 60.00 60.00 60.00
Element x y z (fractional)
Cd 0.250 0.250 0.250
Cd 0.750 0.750 0.750
Ru 0.000 0.000 0.000
Hf 0.500 0.500 0.500

[4]
Compound: HfCdRu3
Source: Alexandria via LeMat-Bulk
Functional: GGA-PBE
Structure: relaxed

Properties
spin magnetization = 3.4 μB per formula unit
volume = 110 Å³/cell
polymorph energy (0 for the lowest one) = 0.00 eV per formula unit
ΔE_f = 1.331 eV/atom
symmetry = No. 221

Lattice parameters (Å, degrees): 4.790 4.790 4.790 90.00 90.00 90.00
Last column: magnetic moment on the atom in μB.
Element x y z (fractional)
Ru 0.000 0.500 0.000  1.21
Ru 0.000 0.000 0.500  1.26
Ru 0.500 0.000 0.000  1.05
Hf 0.000 0.000 0.000  -0.15
Cd 0.500 0.500 0.500  -0.03

[5]
Compound: HfScCdRu
Source: Alexandria via LeMat-Bulk
Functional: GGA-PBE
Structure: relaxed

Properties
spin magnetization = 0.0 μB per formula unit
volume = 76 Å³/cell
ΔE_f = -0.298 eV/atom
symmetry = No. 216

Lattice parameters (Å, degrees): 4.755 4.755 4.755 60.00 60.00 60.00
Element x y z (fractional)
Hf 0.000 0.000 0.000
Sc 0.500 0.500 0.500
Ru 0.750 0.750 0.750
Cd 0.250 0.250 0.250

[6]
Compound: Hf2TlCdRu
Source: Alexandria via LeMat-Bulk
Functional: GGA-PBE
Structure: relaxed

Properties
spin magnetization = 0.0 μB per formula unit
volume = 128 Å³/cell
ΔE_f = 0.359 eV/atom
symmetry = No. 123

Lattice parameters (Å, degrees): 4.946 5.245 4.946 90.00 90.00 90.00
Element x y z (fractional)
Ru 0.000 0.000 0.000
Cd 0.500 0.500 0.500
Tl 0.000 0.500 0.000
Hf 0.500 0.000 0.000
Hf 0.000 0.000 0.500

[7]
Compound: Hf2Cd2S
Source: Alexandria via LeMat-Bulk
Functional: GGA-PBE
Structure: relaxed

Properties
spin magnetization = 0.0 μB per formula unit
volume = 216 Å³/cell
formation energy (no corrections) = -0.478 eV/atom
symmetry = No. 127

Lattice parameters (Å, degrees): 6.623 6.623 4.932 90.00 90.00 90.00
Element x y z (fractional)
Hf 0.837 0.663 0.000
Hf 0.337 0.837 0.000
Hf 0.163 0.337 0.000
Hf 0.663 0.163 0.000
S 0.500 0.500 0.000
S 0.000 0.000 0.000
Cd 0.348 0.152 0.500
Cd 0.652 0.848 0.500
Cd 0.152 0.652 0.500
Cd 0.848 0.348 0.500

[8]
Compound: HfCdS3
Source: Alexandria via LeMat-Bulk
Functional: GGA-PBE
Structure: relaxed

Properties
spin magnetization = 0.0 μB per formula unit
volume = 120 Å³/cell
polymorph energy (0 for the lowest one) = 0.00 eV per formula unit
formation energy (no corrections) = -0.615 eV/atom
symmetry = No. 221

Lattice parameters (Å, degrees): 4.932 4.932 4.932 90.00 90.00 90.00
Element x y z (fractional)
S 0.000 0.000 0.500
S 0.000 0.500 0.000
S 0.500 0.000 0.000
Cd 0.500 0.500 0.500
Hf 0.000 0.000 0.000

[9]
Compound: Hf2CdS
Source: Alexandria via LeMat-Bulk
Functional: GGA-PBE
Structure: relaxed

Properties
spin magnetization = 0.0 μB per formula unit
volume = 77 Å³/cell
polymorph energy (0 for the lowest one) = 2.05 eV per formula unit
formation energy (no corrections) = -0.122 eV/atom
symmetry = No. 225

Lattice parameters (Å, degrees): 4.771 4.771 4.771 60.00 60.00 60.00
Element x y z (fractional)
Cd 0.500 0.500 0.500
Hf 0.250 0.250 0.250
Hf 0.750 0.750 0.750
S 0.000 0.000 0.000

[10]
Compound: Hf2CdS
Source: Alexandria via LeMat-Bulk
Functional: GGA-PBE
Structure: relaxed

Properties
spin magnetization = 0.0 μB per formula unit
volume = 80 Å³/cell
polymorph energy (0 for the lowest one) = 0.00 eV per formula unit
formation energy (no corrections) = -0.635 eV/atom
symmetry = No. 166

Lattice parameters (Å, degrees): 3.510 3.510 7.803 77.00 77.00 60.00
Element x y z (fractional)
Cd 0.500 0.500 0.500
S 0.000 0.000 0.000
Hf 0.269 0.269 0.192
Hf 0.731 0.731 0.808

[11]
Compound: HfCdS3
Source: Alexandria via LeMat-Bulk
Functional: GGA-PBE
Structure: relaxed

Properties
spin magnetization = 0.0 μB per formula unit
volume = 112 Å³/cell
polymorph energy (0 for the lowest one) = 5.55 eV per formula unit
formation energy (no corrections) = 0.495 eV/atom
symmetry = No. 221

Lattice parameters (Å, degrees): 4.825 4.825 4.825 90.00 90.00 90.00
Element x y z (fractional)
Hf 0.500 0.500 0.500
S 0.000 0.000 0.500
S 0.000 0.500 0.000
S 0.500 0.000 0.000
Cd 0.000 0.000 0.000

[12]
Compound: HfCdS
Source: Alexandria via LeMat-Bulk
Functional: GGA-PBE
Structure: relaxed

Properties
spin magnetization = 0.0 μB per formula unit
volume = 125 Å³/cell
formation energy (no corrections) = -0.603 eV/atom
symmetry = No. 187

Lattice parameters (Å, degrees): 3.423 3.423 12.295 90.00 90.00 120.00
Element x y z (fractional)
Hf 0.667 0.333 0.949
Hf 0.333 0.667 0.449
S 0.333 0.667 0.081
S 0.333 0.667 0.817
Cd 0.667 0.333 0.256
Cd 0.667 0.333 0.642

[13]
Compound: HfCdS2
Source: Alexandria via LeMat-Bulk
Functional: GGA-PBE
Structure: relaxed

Properties
spin magnetization = 0.0 μB per formula unit
volume = 97 Å³/cell
formation energy (no corrections) = -0.321 eV/atom
symmetry = No. 166

Lattice parameters (Å, degrees): 8.162 8.162 8.162 26.72 26.72 26.72
Element x y z (fractional)
S 0.101 0.101 0.101
S 0.899 0.899 0.899
Cd 0.500 0.500 0.500
Hf 0.000 0.000 0.000

[14]
Compound: Hf2CdS
Source: Alexandria via LeMat-Bulk
Functional: GGA-PBE
Structure: relaxed

Properties
spin magnetization = 0.0 μB per formula unit
volume = 81 Å³/cell
polymorph energy (0 for the lowest one) = 0.08 eV per formula unit
formation energy (no corrections) = -0.616 eV/atom
symmetry = No. 160

Lattice parameters (Å, degrees): 3.505 3.505 7.864 77.12 77.12 60.00
Element x y z (fractional)
Hf 0.270 0.270 0.189
Hf 0.063 0.063 0.810
S 0.667 0.667 0.999
Cd 0.499 0.499 0.502

[15]
Compound: HfCd4S2
Source: Alexandria via LeMat-Bulk
Functional: GGA-PBE
Structure: relaxed

Properties
spin magnetization = 0.0 μB per formula unit
volume = 218 Å³/cell
formation energy (no corrections) = 0.548 eV/atom
symmetry = No. 139

Lattice parameters (Å, degrees): 5.608 5.608 7.978 69.42 69.42 90.00
Element x y z (fractional)
Hf 0.000 0.000 0.000
Cd 0.000 0.500 0.000
Cd 0.212 0.212 0.576
Cd 0.788 0.788 0.424
Cd 0.500 0.000 0.000
S 0.610 0.610 0.779
S 0.390 0.390 0.221

[16]
Compound: HfCdS2
Source: Alexandria via LeMat-Bulk
Functional: GGA-PBE
Structure: relaxed

Properties
spin magnetization = 0.0 μB per formula unit
volume = 96 Å³/cell
formation energy (no corrections) = -1.105 eV/atom
symmetry = No. 166

Lattice parameters (Å, degrees): 9.110 9.110 9.110 22.35 22.35 22.35
Element x y z (fractional)
S 0.110 0.110 0.110
S 0.890 0.890 0.890
Hf 0.500 0.500 0.500
Cd 0.000 0.000 0.000

[17]
Compound: Hf3Cd2S8
Source: Alexandria via LeMat-Bulk
Functional: GGA-PBE
Structure: relaxed

Properties
spin magnetization = 0.0 μB per formula unit
volume = 615 Å³/cell
formation energy (no corrections) = -1.213 eV/atom
symmetry = No. 64

Lattice parameters (Å, degrees): 7.587 8.409 10.807 90.00 90.00 116.82
Element x y z (fractional)
Hf 0.880 0.261 0.750
Hf 0.500 0.000 0.500
Hf 0.000 0.000 0.000
Hf 0.620 0.739 0.250
Hf 0.380 0.261 0.750
Hf 0.120 0.739 0.250
S 0.239 0.478 0.728
S 0.349 0.244 0.982
S 0.261 0.522 0.228
S 0.507 0.014 0.739
S 0.894 0.244 0.982
S 0.739 0.478 0.772
S 0.849 0.244 0.518
S 0.151 0.756 0.482
S 0.007 0.014 0.761
S 0.651 0.756 0.018
S 0.606 0.756 0.482
S 0.993 0.986 0.239
S 0.493 0.986 0.261
S 0.394 0.244 0.518
S 0.761 0.522 0.272
S 0.106 0.756 0.018
Cd 0.135 0.269 0.388
Cd 0.635 0.269 0.112
Cd 0.865 0.731 0.612
Cd 0.365 0.731 0.888

[18]
Compound: HfCdS2
Source: Alexandria via LeMat-Bulk
Functional: GGA-PBE
Structure: relaxed

Properties
spin magnetization = 0.0 μB per formula unit
volume = 286 Å³/cell
formation energy (no corrections) = -0.740 eV/atom
symmetry = No. 122

Lattice parameters (Å, degrees): 7.398 7.398 7.388 59.95 59.95 90.00
Element x y z (fractional)
S 0.977 0.625 0.250
S 0.875 0.023 0.750
S 0.375 0.227 0.750
S 0.773 0.125 0.250
Cd 0.500 0.500 0.000
Cd 0.250 0.750 0.500
Hf 0.000 0.000 0.000
Hf 0.750 0.250 0.500

[19]
Compound: Hf2CdS
Source: Alexandria via LeMat-Bulk
Functional: GGA-PBE
Structure: relaxed

Properties
spin magnetization = 0.0 μB per formula unit
volume = 212 Å³/cell
polymorph energy (0 for the lowest one) = 3.21 eV per formula unit
formation energy (no corrections) = 0.166 eV/atom
symmetry = No. 122

Lattice parameters (Å, degrees): 5.376 5.376 8.246 70.97 70.97 90.00
Element x y z (fractional)
Hf 0.875 0.792 0.750
Hf 0.208 0.625 0.250
Hf 0.375 0.458 0.750
Hf 0.542 0.125 0.250
S 0.250 0.750 0.500
S 0.500 0.500 0.000
Cd 0.750 0.250 0.500
Cd 0.000 0.000 0.000

[20]
Compound: HfTl3Cd2S6
Source: Alexandria via LeMat-Bulk
Functional: GGA-PBE
Structure: relaxed

Properties
spin magnetization = 0.0 μB per formula unit
volume = 289 Å³/cell
formation energy (no corrections) = -0.671 eV/atom
symmetry = No. 12

Lattice parameters (Å, degrees): 6.847 6.847 7.511 98.78 98.78 120.38
Element x y z (fractional)
S 0.069 0.381 0.200
S 0.243 0.243 0.794
S 0.931 0.619 0.800
S 0.757 0.757 0.206
S 0.381 0.069 0.200
S 0.619 0.931 0.800
Tl 0.832 0.168 0.500
Tl 0.500 0.500 0.500
Tl 0.168 0.832 0.500
Cd 0.335 0.665 0.000
Cd 0.665 0.335 0.000
Hf 0.000 0.000 0.000

[21]
Compound: HfCdSb2
Source: Alexandria via LeMat-Bulk
Functional: GGA-PBE
Structure: relaxed

Properties
spin magnetization = 0.0 μB per formula unit
volume = 95 Å³/cell
formation energy (no corrections) = -0.199 eV/atom
symmetry = No. 123

Lattice parameters (Å, degrees): 3.850 3.850 6.416 90.00 90.00 90.00
Element x y z (fractional)
Sb 0.000 0.000 0.769
Sb 0.000 0.000 0.231
Cd 0.500 0.500 0.500
Hf 0.500 0.500 0.000

[22]
Compound: HfCdSb2
Source: Alexandria via LeMat-Bulk
Functional: GGA-PBE
Structure: relaxed

Properties
spin magnetization = 0.0 μB per formula unit
volume = 105 Å³/cell
formation energy (no corrections) = -0.116 eV/atom
symmetry = No. 166

Lattice parameters (Å, degrees): 3.239 3.239 11.666 82.02 82.02 60.00
Element x y z (fractional)
Sb 0.904 0.904 0.289
Sb 0.096 0.096 0.711
Cd 0.000 0.000 0.000
Hf 0.500 0.500 0.500

[23]
Compound: Hf2Cd2Sb
Source: Alexandria via LeMat-Bulk
Functional: GGA-PBE
Structure: relaxed

Properties
spin magnetization = 0.0 μB per formula unit
volume = 231 Å³/cell
polymorph energy (0 for the lowest one) = 1.37 eV per formula unit
formation energy (no corrections) = 0.275 eV/atom
symmetry = No. 127

Lattice parameters (Å, degrees): 8.077 8.077 3.539 90.00 90.00 90.00
Element x y z (fractional)
Hf 0.176 0.676 0.500
Hf 0.324 0.176 0.500
Hf 0.676 0.824 0.500
Hf 0.824 0.324 0.500
Cd 0.877 0.623 0.000
Cd 0.377 0.877 0.000
Cd 0.123 0.377 0.000
Cd 0.623 0.123 0.000
Sb 0.000 0.000 0.000
Sb 0.500 0.500 0.000

[24]
Compound: HfCdSb2
Source: Alexandria via LeMat-Bulk
Functional: GGA-PBE
Structure: relaxed

Properties
spin magnetization = 0.0 μB per formula unit
volume = 284 Å³/cell
formation energy (no corrections) = 0.043 eV/atom
symmetry = No. 122

Lattice parameters (Å, degrees): 6.592 6.592 8.030 65.77 65.77 90.00
Element x y z (fractional)
Sb 0.375 0.364 0.750
Sb 0.875 0.886 0.750
Sb 0.114 0.625 0.250
Sb 0.636 0.125 0.250
Cd 0.250 0.750 0.500
Cd 0.500 0.500 0.000
Hf 0.750 0.250 0.500
Hf 0.000 0.000 0.000

[25]
Compound: HfCd3Sb
Source: Alexandria via LeMat-Bulk
Functional: GGA-PBE
Structure: relaxed

Properties
spin magnetization = 0.0 μB per formula unit
volume = 158 Å³/cell
polymorph energy (0 for the lowest one) = 0.44 eV per formula unit
formation energy (no corrections) = 1.028 eV/atom
symmetry = No. 221

Lattice parameters (Å, degrees): 5.405 5.405 5.405 90.00 90.00 90.00
Element x y z (fractional)
Cd 0.000 0.500 0.000
Cd 0.000 0.000 0.500
Cd 0.500 0.000 0.000
Hf 0.500 0.500 0.500
Sb 0.000 0.000 0.000

[26]
Compound: Hf2Cd2Sb
Source: Alexandria via LeMat-Bulk
Functional: GGA-PBE
Structure: relaxed

Properties
spin magnetization = 0.0 μB per formula unit
volume = 124 Å³/cell
polymorph energy (0 for the lowest one) = 2.02 eV per formula unit
formation energy (no corrections) = 0.405 eV/atom
symmetry = No. 139

Lattice parameters (Å, degrees): 4.106 4.106 7.930 74.99 74.99 90.00
Element x y z (fractional)
Hf 0.250 0.750 0.500
Hf 0.750 0.250 0.500
Cd 0.405 0.405 0.190
Cd 0.595 0.595 0.810
Sb 0.000 0.000 0.000

Number 1: VASP energy -31.5 eV/f.u.. Number 2: VASP energy -29.6 eV/f.u.. Number 3: VASP energy -20.3 eV/f.u.. Number 4: VASP energy -32.0 eV/f.u.. Number 5: VASP energy -27.7 eV/f.u.. Number 6: VASP energy -30.7 eV/f.u.. Number 7: VASP energy -28.3 eV/f.u.. Number 8: VASP energy -26.3 eV/f.u.. Number 9: VASP energy -25.4 eV/f.u.. Number 10: VASP energy -27.5 eV/f.u.. Number 11: VASP energy -20.8 eV/f.u.. Number 12: VASP energy -16.8 eV/f.u.. Number 13: VASP energy -20.4 eV/f.u.. Number 14: VASP energy -27.4 eV/f.u.. Number 15: VASP energy -18.0 eV/f.u.. Number 16: VASP energy -23.5 eV/f.u.. Number 17: VASP energy -80.5 eV/f.u.. Number 18: VASP energy -22.1 eV/f.u.. Number 19: VASP energy -24.3 eV/f.u.. Number 20: VASP energy -51.7 eV/f.u.. Number 21: VASP energy -19.9 eV/f.u.. Number 22: VASP energy -19.6 eV/f.u.. Number 23: VASP energy -24.5 eV/f.u.. Number 24: VASP energy -18.9 eV/f.u.. Number 25: VASP energy -11.7 eV/f.u.. Number 26: VASP energy -23.8 eV/f.u..